# 1
Entry from the Alexandria database: a relaxed structure of Li3GePt (PBE).

Unit cell a=4.703 b=8.048 c=5.893 alpha=133.07 beta=122.34 gamma=38.40
Element x y z (fractional)
Li 0.000 0.000 0.500
Li 0.000 0.500 0.500
Li 0.000 0.500 0.000
Ge 0.000 0.000 0.000
Pt 0.500 0.000 0.000

Results
Energy of formation from the pure elements   -382.0 meV/atom
Energy   -3.662 eV per atom

***

# 2
Entry from the Alexandria database: a relaxed structure of LiGePt3 (PBE).

Unit cell a=4.676 b=4.676 c=4.676 alpha=90.00 beta=90.00 gamma=90.00
Element x y z (fractional)
Ge 0.000 0.000 0.000
Pt 0.000 0.500 0.000
Pt 0.000 0.000 0.500
Pt 0.500 0.000 0.000
Li 0.500 0.500 0.500

Results
Energy of formation from the pure elements   178.7 meV/atom
Energy   -4.752 eV per atom

***

# 3
Entry from the Alexandria database: a relaxed structure of Li3GePt (PBE).

Unit cell a=2.837 b=8.558 c=6.875 alpha=90.00 beta=90.00 gamma=90.00
Element x y z (fractional)
Li 0.250 0.481 0.183
Li 0.750 0.519 0.817
Li 0.250 0.019 0.183
Li 0.750 0.981 0.817
Li 0.250 0.250 0.685
Li 0.750 0.750 0.315
Ge 0.750 0.250 0.371
Ge 0.250 0.750 0.629
Pt 0.750 0.250 0.007
Pt 0.250 0.750 0.993

Results
Energy of formation from the pure elements   -321.2 meV/atom
Energy   -3.601 eV per atom

***

# 4
Entry from the Alexandria database: a relaxed structure of LiGe4Pt5 (PBE).

Unit cell a=5.558 b=8.744 c=7.862 alpha=90.00 beta=90.00 gamma=90.00
Element x y z (fractional)
Li 0.583 0.000 0.000
Li 0.417 0.500 0.500
Ge 0.959 0.000 0.732
Ge 0.416 0.687 0.000
Ge 0.416 0.313 0.000
Ge 0.959 0.000 0.268
Ge 0.041 0.500 0.232
Ge 0.584 0.813 0.500
Ge 0.584 0.187 0.500
Ge 0.041 0.500 0.768
Pt 0.247 0.749 0.723
Pt 0.247 0.251 0.723
Pt 0.749 0.500 0.000
Pt 0.247 0.749 0.277
Pt 0.247 0.251 0.277
Pt 0.753 0.751 0.223
Pt 0.753 0.249 0.223
Pt 0.251 0.000 0.500
Pt 0.753 0.249 0.777
Pt 0.753 0.751 0.777

Results
Energy of formation from the pure elements   -353.5 meV/atom
Energy   -5.412 eV per atom

***

# 5
Entry from the Alexandria database: a relaxed structure of Li3GePt2 (PBE).

Unit cell a=4.100 b=4.100 c=10.355 alpha=101.49 beta=101.49 gamma=89.91
Element x y z (fractional)
Li 0.209 0.459 0.418
Li 0.541 0.791 0.082
Li 0.791 0.541 0.582
Li 0.459 0.209 0.918
Li 0.624 0.376 0.250
Li 0.376 0.624 0.750
Ge 0.124 0.876 0.250
Ge 0.876 0.124 0.750
Pt 0.046 0.299 0.097
Pt 0.701 0.954 0.403
Pt 0.954 0.701 0.903
Pt 0.299 0.046 0.597

Results
Energy of formation from the pure elements   -675.1 meV/atom
Energy   -4.415 eV per atom

***

# 6
Entry from the Alexandria database: a relaxed structure of Li3Ge4Pt2 (PBE).

Unit cell a=4.378 b=5.334 c=7.218 alpha=76.71 beta=72.34 gamma=65.77
Element x y z (fractional)
Li 0.336 0.659 0.670
Li 0.000 0.000 0.000
Li 0.664 0.341 0.330
Ge 0.319 0.347 0.016
Ge 0.681 0.653 0.984
Ge 0.093 0.238 0.576
Ge 0.907 0.762 0.424
Pt 0.389 0.945 0.278
Pt 0.611 0.055 0.722

Results
Energy of formation from the pure elements   -530.3 meV/atom
Energy   -4.563 eV per atom

***

# 7
Entry from the Alexandria database: a relaxed structure of Li3Ge2Pt3 (PBE).

Unit cell a=5.348 b=5.348 c=6.496 alpha=65.69 beta=65.69 gamma=60.00
Element x y z (fractional)
Li 0.500 0.500 0.500
Li 0.931 0.931 0.206
Li 0.069 0.069 0.794
Ge 0.216 0.216 0.352
Ge 0.784 0.784 0.648
Pt 0.500 0.000 0.000
Pt 0.500 0.500 0.000
Pt 0.000 0.500 0.000

Results
Energy of formation from the pure elements   -393.3 meV/atom
Energy   -4.531 eV per atom

***

# 8
Entry from the Alexandria database: a relaxed structure of Li2GePt4 (PBE).

Unit cell a=4.622 b=4.622 c=7.102 alpha=71.01 beta=71.01 gamma=90.00
Element x y z (fractional)
Ge 0.000 0.000 0.000
Pt 0.188 0.188 0.624
Pt 0.812 0.812 0.376
Pt 0.000 0.500 0.000
Pt 0.500 0.000 0.000
Li 0.386 0.386 0.228
Li 0.614 0.614 0.772

Results
Energy of formation from the pure elements   256.3 meV/atom
Energy   -4.402 eV per atom

***

# 9
Entry from the Alexandria database: a relaxed structure of Li5GePt (PBE).

Unit cell a=9.182 b=5.158 c=5.781 alpha=116.50 beta=142.58 gamma=90.00
Element x y z (fractional)
Li 0.311 0.246 0.492
Li 0.093 0.500 0.000
Li 0.818 0.754 0.508
Li 0.343 0.240 0.000
Li 0.343 0.760 0.000
Ge 0.811 0.500 0.000
Pt 0.811 0.000 0.000

Results
Energy of formation from the pure elements   -233.1 meV/atom
Energy   -3.123 eV per atom

***

# 10
Entry from the Alexandria database: a relaxed structure of Li6GePt (PBE).

Unit cell a=4.563 b=5.543 c=5.543 alpha=120.01 beta=90.00 gamma=90.00
Element x y z (fractional)
Li 0.000 0.104 0.427
Li 0.000 0.573 0.896
Li 0.000 0.573 0.427
Li 0.500 0.393 0.071
Li 0.500 0.929 0.607
Li 0.500 0.929 0.071
Ge 0.500 0.417 0.583
Pt 0.000 0.083 0.917

Results
Energy of formation from the pure elements   -322.4 meV/atom
Energy   -3.090 eV per atom

***

# 11
Entry from the Alexandria database: a relaxed structure of Li5GePt6 (PBE).

Unit cell a=4.233 b=5.926 c=7.281 alpha=114.01 beta=106.90 gamma=90.00
Element x y z (fractional)
Ge 0.000 0.000 0.000
Pt 0.833 0.581 0.666
Pt 0.833 0.085 0.666
Pt 0.500 0.747 0.000
Pt 0.500 0.253 0.000
Pt 0.167 0.915 0.334
Pt 0.167 0.419 0.334
Li 0.667 0.167 0.334
Li 0.332 0.332 0.664
Li 0.000 0.500 0.000
Li 0.668 0.668 0.336
Li 0.333 0.833 0.666

Results
Energy of formation from the pure elements   -595.9 meV/atom
Energy   -4.799 eV per atom

***

# 12
Entry from the Alexandria database: a relaxed structure of Li2Ge3Pt2 (PBE).

Unit cell a=4.095 b=5.157 c=6.748 alpha=111.24 beta=90.00 gamma=113.39
Element x y z (fractional)
Li 0.827 0.653 0.188
Li 0.173 0.347 0.812
Ge 0.500 0.000 0.000
Ge 0.624 0.249 0.463
Ge 0.376 0.751 0.537
Pt 0.880 0.760 0.781
Pt 0.120 0.240 0.219

Results
Energy of formation from the pure elements   -499.3 meV/atom
Energy   -4.751 eV per atom

***

# 13
Entry from the Alexandria database: a relaxed structure of LiGe3Pt2 (PBE).

Unit cell a=6.155 b=6.089 c=6.089 alpha=120.00 beta=90.00 gamma=90.00
Element x y z (fractional)
Li 0.324 0.667 0.333
Li 0.676 0.333 0.667
Ge 0.685 0.344 0.172
Ge 0.685 0.828 0.656
Ge 0.685 0.828 0.172
Ge 0.315 0.172 0.828
Ge 0.315 0.656 0.828
Ge 0.315 0.172 0.344
Pt 0.000 0.000 0.000
Pt 0.000 0.500 0.500
Pt 0.000 0.500 0.000
Pt 0.000 0.000 0.500

Results
Energy of formation from the pure elements   -255.2 meV/atom
Energy   -4.896 eV per atom

***

# 14
Entry from the Alexandria database: a relaxed structure of Li4Ge6Pt7 (PBE).

Unit cell a=7.063 b=7.063 c=7.063 alpha=109.47 beta=109.47 gamma=109.47
Element x y z (fractional)
Li 0.500 0.000 0.000
Li 0.500 0.500 0.500
Li 0.000 0.500 0.000
Li 0.000 0.000 0.500
Ge 0.691 0.000 0.691
Ge 0.691 0.691 0.000
Ge 0.000 0.309 0.309
Ge 0.309 0.000 0.309
Ge 0.309 0.309 0.000
Ge 0.000 0.691 0.691
Pt 0.750 0.500 0.250
Pt 0.250 0.750 0.500
Pt 0.500 0.750 0.250
Pt 0.750 0.250 0.500
Pt 0.250 0.500 0.750
Pt 0.500 0.250 0.750
Pt 0.000 0.000 0.000

Results
Energy of formation from the pure elements   -650.3 meV/atom
Energy   -5.218 eV per atom

***

# 15
Entry from the Alexandria database: a relaxed structure of LiGe2Pt3 (PBE).

Unit cell a=4.214 b=4.327 c=6.309 alpha=110.05 beta=109.51 gamma=90.00
Element x y z (fractional)
Li 0.500 0.947 0.000
Ge 0.845 0.650 0.690
Ge 0.155 0.960 0.310
Pt 0.000 0.232 0.000
Pt 0.367 0.344 0.735
Pt 0.633 0.610 0.265

Results
Energy of formation from the pure elements   -429.8 meV/atom
Energy   -5.308 eV per atom

***

# 16
Entry from the Alexandria database: a relaxed structure of Li2Ge5Pt3 (PBE).

Unit cell a=4.180 b=6.824 c=12.297 alpha=90.00 beta=99.79 gamma=90.00
Element x y z (fractional)
Li 0.481 0.747 0.962
Li 0.163 0.683 0.325
Li 0.837 0.183 0.675
Li 0.519 0.247 0.038
Ge 0.394 0.378 0.787
Ge 0.294 0.530 0.589
Ge 0.706 0.030 0.411
Ge 0.112 0.267 0.225
Ge 0.292 0.969 0.583
Ge 0.959 0.081 0.918
Ge 0.708 0.469 0.417
Ge 0.888 0.767 0.775
Ge 0.041 0.581 0.082
Ge 0.606 0.878 0.213
Pt 0.781 0.755 0.562
Pt 0.603 0.505 0.206
Pt 0.056 0.951 0.112
Pt 0.219 0.255 0.438
Pt 0.944 0.451 0.888
Pt 0.397 0.005 0.794

Results
Energy of formation from the pure elements   -466.3 meV/atom
Energy   -4.970 eV per atom

***

# 17
Entry from the Alexandria database: a relaxed structure of LiGe2Pt6 (PBE).

Unit cell a=6.204 b=6.204 c=8.484 alpha=90.00 beta=90.00 gamma=90.00
Element x y z (fractional)
Li 0.000 0.000 0.000
Li 0.500 0.500 0.500
Ge 0.000 0.000 0.320
Ge 0.500 0.500 0.820
Ge 0.500 0.500 0.180
Ge 0.000 0.000 0.680
Pt 0.273 0.273 0.342
Pt 0.727 0.727 0.342
Pt 0.227 0.773 0.842
Pt 0.773 0.227 0.842
Pt 0.227 0.773 0.158
Pt 0.773 0.227 0.158
Pt 0.273 0.273 0.658
Pt 0.727 0.727 0.658
Pt 0.277 0.277 0.000
Pt 0.723 0.723 0.000
Pt 0.223 0.777 0.500
Pt 0.777 0.223 0.500

Results
Energy of formation from the pure elements   198.3 meV/atom
Energy   -5.068 eV per atom

***

# 18
Entry from the Alexandria database: a relaxed structure of Li3Ge2Pt4 (PBE).

Unit cell a=4.305 b=4.154 c=8.132 alpha=90.00 beta=87.05 gamma=61.15
Element x y z (fractional)
Li 0.333 0.334 0.451
Li 0.000 0.000 0.000
Li 0.667 0.666 0.549
Ge 0.321 0.340 0.780
Ge 0.679 0.660 0.220
Pt 0.654 0.673 0.894
Pt 0.014 0.993 0.324
Pt 0.986 0.007 0.676
Pt 0.346 0.327 0.106

Results
Energy of formation from the pure elements   -605.9 meV/atom
Energy   -4.955 eV per atom

***

# 19
Entry from the Alexandria database: a relaxed structure of LiGePt6 (PBE).

Unit cell a=4.597 b=4.597 c=6.565 alpha=104.68 beta=104.67 gamma=106.05
Element x y z (fractional)
Li 0.500 0.500 0.000
Ge 0.000 0.000 0.000
Pt 0.617 0.117 0.234
Pt 0.883 0.383 0.766
Pt 0.252 0.252 0.504
Pt 0.117 0.617 0.234
Pt 0.383 0.883 0.766
Pt 0.748 0.748 0.496

Results
Energy of formation from the pure elements   -288.9 meV/atom
Energy   -5.636 eV per atom

***

# 20
Entry from the Alexandria database: a relaxed structure of Li8GePt2 (PBE).

Unit cell a=4.189 b=7.826 c=6.640 alpha=53.87 beta=89.99 gamma=89.99
Element x y z (fractional)
Li 0.000 0.034 0.268
Li 0.000 0.302 0.732
Li 0.500 0.339 0.000
Li 0.500 0.753 0.495
Li 0.500 0.247 0.505
Li 0.500 0.661 0.000
Li 0.000 0.698 0.268
Li 0.000 0.966 0.732
Ge 0.500 0.000 0.000
Pt 0.000 0.377 0.247
Pt 0.000 0.623 0.753

Results
Energy of formation from the pure elements   -371.6 meV/atom
Energy   -3.282 eV per atom

***

# 21
Entry from the Alexandria database: a relaxed structure of Li2Ge3Pt5 (PBE).

Unit cell a=4.142 b=6.425 c=11.901 alpha=90.00 beta=100.02 gamma=90.00
Element x y z (fractional)
Li 0.477 0.854 0.954
Li 0.195 0.610 0.390
Li 0.805 0.110 0.610
Li 0.523 0.354 0.046
Ge 0.792 0.578 0.583
Ge 0.621 0.596 0.242
Ge 0.035 0.062 0.070
Ge 0.208 0.078 0.417
Ge 0.965 0.562 0.930
Ge 0.379 0.096 0.758
Pt 0.407 0.496 0.814
Pt 0.290 0.355 0.580
Pt 0.710 0.855 0.420
Pt 0.121 0.296 0.241
Pt 0.296 0.832 0.591
Pt 0.936 0.186 0.873
Pt 0.704 0.332 0.409
Pt 0.879 0.796 0.759
Pt 0.064 0.686 0.127
Pt 0.593 0.996 0.186

Results
Energy of formation from the pure elements   -559.0 meV/atom
Energy   -5.347 eV per atom

***

no.,volume (A^3/atom)
1,20.24
2,20.44
3,16.69
4,19.11
5,13.92
6,16.15
7,17.70
8,19.24
9,16.14
10,15.18
11,13.18
12,17.17
13,16.47
14,15.95
15,16.84
16,17.28
17,18.14
18,14.13
19,15.12
20,15.98
21,15.59